Entry 1:
Entry from Alexandria: crystalline MnRe2Mo at its relaxed geometry (PBE-GGA).

abc: 2.747 3.847 5.487
angles: 90.00 90.00 90.00
Element x y z (fractional)
Mn 0.000 0.000 0.000
Re 0.000 0.000 0.510
Re 0.500 0.500 0.759
Mo 0.500 0.500 0.244

Summary:
Energy, eV/atom: -11.0602
DFT formation energy, eV per formula unit: 0.66
V, Å³/atom: 14.496
Excess energy over the best structure of this formula in the dataset, kJ/mol of formula units: 29


Entry 2:
Entry from Alexandria: crystalline AlCr2Ag at its relaxed geometry (PBE-GGA).

abc: 8.624 8.624 8.624
angles: 18.84 18.84 18.84
Element x y z (fractional)
Al 0.000 0.000 0.000
Cr 0.479 0.479 0.479
Cr 0.751 0.751 0.751
Ag 0.241 0.241 0.241

Summary:
Energy, eV/atom: -6.2089
DFT formation energy, eV per formula unit: 1.01
V, Å³/atom: 14.611


> Among the records above, which one has the highest energy?

AlCr2Ag


> Which value of energy does entry 2 give?

-6.2089 eV/atom


> V of number 1 (MnRe2Mo)?

14.496 Å³/atom